Below is crystalline SrTcIr2 at its relaxed geometry, with properties calculated at the PBE level.

abc: 4.978 4.978 5.726
angles: 100.70 100.70 33.81
Sites, in units of the cell vectors:
Sr 0.000 0.000 0.000
Tc 0.221 0.221 0.632
Ir 0.495 0.495 0.515
Ir 0.768 0.768 0.289

Summary:
As for the offset from the most stable computed form: 210.0 meV/atom. Its space group is Cm, No. 8. The value obtained for the formation energy is 0.33 eV per atom. Its size of the total moment is 0.00 μB/cell.